(1)
Nd2AgGe4Pd3: relaxed, PBE.

Cell lengths 4.356, 4.356, 10.369 Å; angles 90.00, 90.00, 90.00 degrees
Fractional positions:
Nd1 0.000 0.500 0.248
Nd2 0.500 0.000 0.752
Ag1 0.000 0.000 0.500
Ge1 0.000 0.000 0.000
Ge2 0.000 0.500 0.640
Ge3 0.500 0.000 0.360
Ge4 0.500 0.500 0.000
Pd1 0.000 0.500 0.876
Pd2 0.500 0.000 0.124
Pd3 0.500 0.500 0.500

**E_tot**: -5.356 eV/atom
**SG**: P-4m2 (115)
**DOS at the Fermi energy**: 0.511 states/eV/atom
**Calculated volume**: 196.7 Å³/cell
**Energy relative to the elements**: -712.2 meV per atom

(2)
Nd3AgGe6Pd2: relaxed, PBE.

Cell lengths 6.024, 6.024, 8.357 Å; angles 90.00, 90.00, 120.00 degrees
Fractional positions:
Nd1 0.000 0.000 0.000
Nd2 0.333 0.667 0.613
Nd3 0.667 0.333 0.387
Ag1 0.000 0.000 0.500
Ge1 0.190 0.379 0.272
Ge2 0.190 0.810 0.272
Ge3 0.379 0.190 0.728
Ge4 0.621 0.810 0.272
Ge5 0.810 0.190 0.728
Ge6 0.810 0.621 0.728
Pd1 0.333 0.667 0.014
Pd2 0.667 0.333 0.986

**E_tot**: -5.001 eV/atom
**SG**: P-3m1 (164)
**DOS at the Fermi energy**: 0.347 states/eV/atom
**Calculated volume**: 262.6 Å³/cell
**Energy relative to the elements**: -397.3 meV per atom

(3)
NdAgGe2Pd5: relaxed, PBE.

Cell lengths 4.192, 4.192, 9.298 Å; angles 90.00, 90.00, 90.00 degrees
Fractional positions:
Nd1 0.000 0.000 0.000
Ag1 0.000 0.000 0.500
Ge1 0.500 0.500 0.370
Ge2 0.500 0.500 0.630
Pd1 0.000 0.500 0.232
Pd2 0.000 0.500 0.768
Pd3 0.500 0.000 0.232
Pd4 0.500 0.000 0.768
Pd5 0.500 0.500 0.000

**E_tot**: -5.239 eV/atom
**SG**: P4/mmm (123)
**DOS at the Fermi energy**: 0.401 states/eV/atom
**Calculated volume**: 163.4 Å³/cell
**Energy relative to the elements**: -481.6 meV per atom

(4)
PmNdAgGe: relaxed, PBE.

Cell lengths 7.401, 7.401, 7.401 Å; angles 90.00, 90.00, 90.00 degrees
Fractional positions:
Pm1 0.000 0.000 0.000
Pm2 0.000 0.500 0.500
Pm3 0.500 0.000 0.500
Pm4 0.500 0.500 0.000
Nd1 0.000 0.000 0.500
Nd2 0.000 0.500 0.000
Nd3 0.500 0.000 0.000
Nd4 0.500 0.500 0.500
Ag1 0.250 0.250 0.250
Ag2 0.250 0.750 0.750
Ag3 0.750 0.250 0.750
Ag4 0.750 0.750 0.250
Ge1 0.250 0.250 0.750
Ge2 0.250 0.750 0.250
Ge3 0.750 0.250 0.250
Ge4 0.750 0.750 0.750

**E_tot**: -4.765 eV/atom
**SG**: F-43m (216)
**DOS at the Fermi energy**: 1.065 states/eV/atom
**Calculated volume**: 405.4 Å³/cell
**Energy relative to the elements**: -518.4 meV per atom